A geometry-optimized Ba3Hg structure, computed with PBEsol.

Cell: 8.5160 11.2927 7.6897 Å, 90.00 90.00 90.00°
Last column: nearest neighbours and their distance in Å.
Fractional positions:
Ba (0.0226, 0.2500, 0.1264)  2 Hg 3.39-3.43
Ba (0.1800, 0.0610, 0.6750)  2 Hg 3.42-3.50
Ba (0.1800, 0.4390, 0.6750)  2 Hg 3.42-3.50
Ba (0.3200, 0.5610, 0.1750)  2 Hg 3.42-3.50
Ba (0.3200, 0.9390, 0.1750)  2 Hg 3.42-3.50
Ba (0.4774, 0.7500, 0.6264)  2 Hg 3.39-3.43
Ba (0.5226, 0.2500, 0.3736)  2 Hg 3.39-3.43
Ba (0.6800, 0.0610, 0.8250)  2 Hg 3.42-3.50
Ba (0.6800, 0.4390, 0.8250)  2 Hg 3.42-3.50
Ba (0.8200, 0.5610, 0.3250)  2 Hg 3.42-3.50
Ba (0.8200, 0.9390, 0.3250)  2 Hg 3.42-3.50
Ba (0.9774, 0.7500, 0.8736)  2 Hg 3.39-3.43
Hg (0.1114, 0.7500, 0.4523)  6 Ba 3.39-3.50
Hg (0.3886, 0.2500, 0.9523)  6 Ba 3.39-3.50
Hg (0.6114, 0.7500, 0.0477)  6 Ba 3.39-3.50
Hg (0.8886, 0.2500, 0.5477)  6 Ba 3.39-3.50

Output
The value obtained for the energy above the lowest structure with this stoichiometry is 13.9 meV/atom. As for the energy relative to the elements: -0.269 eV/atom. The total moment comes out at 0.00 Bohr magnetons per cell. For the total energy, the calculation gives -2.02 eV per atom. The crystal system is orthorhombic.

A geometry-optimized VAg2P2O8 structure, computed with PBEsol.

Cell: 7.6101 13.6796 6.2533 Å, 90.00 99.36 90.00°
Last column: nearest neighbours and their distance in Å.
Fractional positions:
V (0.2229, 0.0792, 0.2624)  1 O 1.65
V (0.2229, 0.4208, 0.7624)  1 O 1.65
V (0.7771, 0.5792, 0.2376)  1 O 1.65
V (0.7771, 0.9208, 0.7376)  1 O 1.65
Ag (0.0496, 0.7099, 0.6506)  3 O 2.22-2.35
Ag (0.0496, 0.7901, 0.1506)  3 O 2.22-2.35
Ag (0.4572, 0.6433, 0.5696)  4 O 2.31-2.58
Ag (0.4572, 0.8567, 0.0696)  4 O 2.31-2.58
Ag (0.5428, 0.1433, 0.9304)  4 O 2.31-2.58
Ag (0.5428, 0.3567, 0.4304)  4 O 2.31-2.58
Ag (0.9504, 0.2099, 0.8494)  3 O 2.22-2.35
Ag (0.9504, 0.2901, 0.3494)  3 O 2.22-2.35
P (0.1719, 0.0230, 0.7468)  4 O 1.52-1.61
P (0.1719, 0.4770, 0.2468)  4 O 1.52-1.61
P (0.3640, 0.6261, 0.0313)  4 O 1.53-1.62
P (0.3640, 0.8739, 0.5313)  4 O 1.53-1.62
P (0.6360, 0.1261, 0.4687)  4 O 1.53-1.62
P (0.6360, 0.3739, 0.9687)  4 O 1.53-1.62
P (0.8281, 0.5230, 0.7532)  4 O 1.52-1.61
P (0.8281, 0.9770, 0.2532)  4 O 1.52-1.61
O (0.0260, 0.5196, 0.7390)  1 P 1.52
O (0.0260, 0.9804, 0.2390)  1 P 1.52
O (0.0977, 0.1743, 0.1756)  1 V 1.65
O (0.0977, 0.3257, 0.6756)  1 V 1.65
O (0.2188, 0.0935, 0.5757)  1 P 1.53
O (0.2188, 0.4065, 0.0757)  1 P 1.53
O (0.2255, 0.5855, 0.1828)  2 P 1.61-1.62
O (0.2255, 0.9145, 0.6828)  2 P 1.61-1.62
O (0.2826, 0.7236, 0.9454)  1 P 1.53
O (0.2826, 0.7764, 0.4454)  1 P 1.53
O (0.2858, 0.0457, 0.9681)  1 P 1.54
O (0.2858, 0.4543, 0.4681)  1 P 1.54
O (0.3723, 0.5513, 0.8520)  1 P 1.53
O (0.3723, 0.9487, 0.3520)  1 P 1.53
O (0.4601, 0.1427, 0.3142)  1 P 1.53
O (0.4601, 0.3573, 0.8142)  1 P 1.53
O (0.5399, 0.6427, 0.1858)  1 P 1.53
O (0.5399, 0.8573, 0.6858)  1 P 1.53
O (0.6277, 0.0513, 0.6480)  1 P 1.53
O (0.6277, 0.4487, 0.1480)  1 P 1.53
O (0.7142, 0.5457, 0.5319)  1 P 1.54
O (0.7142, 0.9543, 0.0319)  1 P 1.54
O (0.7174, 0.2236, 0.5546)  1 P 1.53
O (0.7174, 0.2764, 0.0546)  1 P 1.53
O (0.7745, 0.0855, 0.3172)  2 P 1.61-1.62
O (0.7745, 0.4145, 0.8172)  2 P 1.61-1.62
O (0.7812, 0.5935, 0.9243)  1 P 1.53
O (0.7812, 0.9065, 0.4243)  1 P 1.53
O (0.9023, 0.6743, 0.3244)  1 V 1.65
O (0.9023, 0.8257, 0.8244)  1 V 1.65
O (0.9740, 0.0196, 0.7610)  1 P 1.52
O (0.9740, 0.4804, 0.2610)  1 P 1.52

Output
The uncorrected formation energy is -1.74 eV per atom. The total moment comes out at 4.00 Bohr magnetons per cell. For the total energy, the calculation gives -7.12 eV per atom. The crystal system is monoclinic.

A geometry-optimized BeHg2As structure, computed with PBEsol.

Cell: 6.4295 6.4295 6.4295 Å, 153.28 141.04 47.87°
Last column: nearest neighbours and their distance in Å.
Fractional positions:
Be (0.0000, 0.0000, 0.0000)  2 As 2.40, 4 Hg 2.62
Hg (0.2039, 0.7039, 0.5000)  2 Be 2.82, 4 Hg 2.97-3.03, 4 As 3.06
Hg (0.5215, 0.5215, 0.0000)  4 Be 2.62
As (0.8398, 0.3398, 0.5000)  2 Be 2.40

Output
The value obtained for the energy above the lowest structure with this stoichiometry is 164.7 meV/atom. As for the energy relative to the elements: 0.237 eV/atom. The total moment comes out at 0.00 Bohr magnetons per cell. For the total energy, the calculation gives -2.32 eV per atom. The crystal system is orthorhombic.

A geometry-optimized Rb6Te2O9 structure, computed with PBEsol.

Cell: 8.7346 8.7346 10.9736 Å, 112.07 112.07 93.00°
Last column: nearest neighbours and their distance in Å.
Fractional positions:
Rb (0.0024, 0.8045, 0.5250)  4 O 2.86-3.01
Rb (0.1784, 0.4030, 0.2627)  4 O 2.70-2.95
Rb (0.1955, 0.9976, 0.9750)  4 O 2.86-3.01
Rb (0.2055, 0.4992, 0.9706)  7 O 2.75-3.07
Rb (0.4030, 0.1784, 0.7627)  4 O 2.70-2.95
Rb (0.4992, 0.2055, 0.4706)  7 O 2.75-3.07
Rb (0.5008, 0.7945, 0.5294)  7 O 2.75-3.07
Rb (0.5970, 0.8216, 0.2373)  4 O 2.70-2.95
Rb (0.7945, 0.5008, 0.0294)  7 O 2.75-3.07
Rb (0.8045, 0.0024, 0.0250)  4 O 2.86-3.01
Rb (0.8216, 0.5970, 0.7373)  4 O 2.70-2.95
Rb (0.9976, 0.1955, 0.4750)  4 O 2.86-3.01
Te (0.1259, 0.8741, 0.2500)  5 O 1.89-1.94
Te (0.3535, 0.6465, 0.7500)  4 O 1.84
Te (0.6465, 0.3535, 0.2500)  4 O 1.84
Te (0.8741, 0.1259, 0.7500)  5 O 1.89-1.94
O (0.0196, 0.7609, 0.0393)  1 Te 1.94
O (0.0853, 0.1678, 0.7435)  1 Te 1.89
O (0.1292, 0.5927, 0.7135)  1 Te 1.84
O (0.1678, 0.0853, 0.2435)  1 Te 1.89
O (0.2391, 0.9804, 0.4607)  1 Te 1.94
O (0.2762, 0.7238, 0.2500)  1 Te 1.90
O (0.3859, 0.5128, 0.5903)  1 Te 1.84
O (0.4073, 0.8708, 0.7865)  1 Te 1.84
O (0.4872, 0.6141, 0.9097)  1 Te 1.84
O (0.5128, 0.3859, 0.0903)  1 Te 1.84
O (0.5927, 0.1292, 0.2135)  1 Te 1.84
O (0.6141, 0.4872, 0.4097)  1 Te 1.84
O (0.7238, 0.2762, 0.7500)  1 Te 1.90
O (0.7609, 0.0196, 0.5393)  1 Te 1.94
O (0.8322, 0.9147, 0.7565)  1 Te 1.89
O (0.8708, 0.4073, 0.2865)  1 Te 1.84
O (0.9147, 0.8322, 0.2565)  1 Te 1.89
O (0.9804, 0.2391, 0.9607)  1 Te 1.94

Output
The uncorrected formation energy is -1.43 eV per atom. The total moment comes out at 0.00 Bohr magnetons per cell. For the total energy, the calculation gives -4.99 eV per atom. The crystal system is monoclinic.

A geometry-optimized Tl2HgCl structure, computed with PBEsol.

Cell: 6.0893 6.0893 5.1771 Å, 90.12 90.12 33.83°
Last column: nearest neighbours and their distance in Å.
Fractional positions:
Tl (0.0000, 0.0000, 0.0000)  3 Hg 3.03-3.31, 4 Cl 3.14
Tl (0.2391, 0.2391, 0.5014)  1 Cl 2.96, 4 Hg 3.14
Hg (0.7396, 0.7396, 0.0015)  7 Tl 3.03-3.31
Cl (0.4929, 0.4929, 0.5000)  5 Tl 2.96-3.14

Output
The value obtained for the energy above the lowest structure with this stoichiometry is 7.4 meV/atom. The uncorrected formation energy is -0.38 eV per atom. The total moment comes out at 0.00 Bohr magnetons per cell. For the total energy, the calculation gives -2.34 eV per atom. The crystal system is monoclinic.

A geometry-optimized ScAl2Ag structure, computed with PBEsol.

Cell: 3.0646 4.4902 5.3523 Å, 90.00 90.00 90.00°
Last column: nearest neighbours and their distance in Å.
Fractional positions:
Sc (0.0000, 0.0000, 0.0000)  8 Al 2.99-3.10, 4 Ag 3.04, 2 Sc 3.06
Al (0.5000, 0.0000, 0.4964)  2 Ag 2.61, 2 Al 2.65
Al (0.5000, 0.5000, 0.2334)  2 Ag 2.60-2.75, 2 Al 2.65
Ag (0.5000, 0.5000, 0.7468)  4 Al 2.60-2.75

Output
As for the energy relative to the elements: -0.239 eV/atom. The total moment comes out at 0.00 Bohr magnetons per cell. For the total energy, the calculation gives -4.76 eV per atom. The crystal system is orthorhombic.

A geometry-optimized Li5Tl structure, computed with PBEsol.

Cell: 5.3882 5.3882 5.6514 Å, 120.60 120.60 52.32°
Last column: nearest neighbours and their distance in Å.
Fractional positions:
Li (0.0000, 0.0000, 0.0000)  2 Tl 2.83, 8 Li 2.89-3.10
Li (0.3321, 0.3321, 0.0371)  7 Li 2.74-2.95, 1 Tl 2.91
Li (0.3324, 0.3324, 0.5270)  6 Li 2.74-2.89, 2 Tl 2.93
Li (0.6676, 0.6676, 0.4730)  6 Li 2.74-2.89, 2 Tl 2.93
Li (0.6679, 0.6679, 0.9629)  7 Li 2.74-2.95, 1 Tl 2.91
Tl (0.0000, 0.0000, 0.5000)  10 Li 2.83-3.13

Output
The value obtained for the energy above the lowest structure with this stoichiometry is 0.0 meV/atom. As for the energy relative to the elements: -0.186 eV/atom. The total moment comes out at 0.00 Bohr magnetons per cell. For the total energy, the calculation gives -2.26 eV per atom. The crystal system is monoclinic.

A geometry-optimized CuGeSe2Br structure, computed with PBEsol.

Cell: 4.7354 4.7354 4.8223 Å, 90.00 90.00 90.00°
Last column: nearest neighbours and their distance in Å.
Fractional positions:
Cu (0.0000, 0.0000, 0.0000)  4 Se 2.37, 2 Br 2.41
Ge (0.5000, 0.5000, 0.5000)  4 Br 3.35, 8 Se 3.38
Se (0.0000, 0.5000, 0.0000)  2 Cu 2.37
Se (0.5000, 0.0000, 0.0000)  2 Cu 2.37
Br (0.0000, 0.0000, 0.5000)  2 Cu 2.41

Output
The uncorrected formation energy is 0.27 eV per atom. The total moment comes out at 0.00 Bohr magnetons per cell. For the total energy, the calculation gives -3.50 eV per atom. The crystal system is tetragonal.

A geometry-optimized Rb2ScGaP structure, computed with PBEsol.

Cell: 6.6285 6.6285 4.9831 Å, 90.00 90.00 90.00°
Last column: nearest neighbours and their distance in Å.
Fractional positions:
Rb (0.0000, 0.5000, 0.0000)  2 Sc 3.31
Rb (0.5000, 0.0000, 0.0000)  2 Sc 3.31
Sc (0.0000, 0.0000, 0.0000)  2 Ga 2.49
Ga (0.0000, 0.0000, 0.5000)  2 Sc 2.49
P (0.5000, 0.5000, 0.5000)  8 Rb 4.15

Output
As for the energy relative to the elements: 1.045 eV/atom. The total moment comes out at 1.55 Bohr magnetons per cell. For the total energy, the calculation gives -2.51 eV per atom. The crystal system is tetragonal.

A geometry-optimized YCrF2 structure, computed with PBEsol.

Cell: 4.3579 4.3579 4.3579 Å, 60.00 60.00 60.00°
Last column: nearest neighbours and their distance in Å.
Fractional positions:
Y (0.0000, 0.0000, 0.0000)  8 F 2.67
Cr (0.5000, 0.5000, 0.5000)  8 F 2.67
F (0.2500, 0.2500, 0.2500)  4 Cr 2.67, 4 Y 2.67
F (0.7500, 0.7500, 0.7500)  4 Cr 2.67, 4 Y 2.67

Output
The uncorrected formation energy is -1.26 eV per atom. The total moment comes out at 5.02 Bohr magnetons per cell. For the total energy, the calculation gives -6.49 eV per atom. The crystal system is cubic.

A geometry-optimized TaAsPdSe2 structure, computed with PBEsol.

Cell: 4.7803 4.7803 4.6644 Å, 90.00 90.00 90.00°
Last column: nearest neighbours and their distance in Å.
Fractional positions:
Ta (0.0000, 0.0000, 0.0000)  8 Se 3.34, 4 As 3.38
As (0.5000, 0.5000, 0.0000)  2 Pd 2.33
Pd (0.5000, 0.5000, 0.5000)  2 As 2.33, 4 Se 2.39
Se (0.0000, 0.5000, 0.5000)  2 Pd 2.39
Se (0.5000, 0.0000, 0.5000)  2 Pd 2.39

Output
The value obtained for the energy above the lowest structure with this stoichiometry is 0.0 meV/atom. The uncorrected formation energy is 0.86 eV per atom. The total moment comes out at 1.35 Bohr magnetons per cell. For the total energy, the calculation gives -5.41 eV per atom. The crystal system is tetragonal.

A geometry-optimized LiBeNi2 structure, computed with PBEsol.

Cell: 2.4830 2.4830 6.4719 Å, 90.00 90.00 90.00°
Last column: nearest neighbours and their distance in Å.
Fractional positions:
Li (0.0000, 0.0000, 0.0000)  4 Li 2.48, 8 Ni 2.57
Be (0.0000, 0.0000, 0.5000)  8 Ni 2.22, 4 Be 2.48
Ni (0.5000, 0.5000, 0.2905)  4 Be 2.22, 4 Ni 2.48
Ni (0.5000, 0.5000, 0.7095)  4 Be 2.22, 4 Ni 2.48

Output
As for the energy relative to the elements: -0.181 eV/atom. The total moment comes out at 0.00 Bohr magnetons per cell. For the total energy, the calculation gives -4.75 eV per atom. The crystal system is tetragonal.

Copy entry 2 word for word.
A geometry-optimized VAg2P2O8 structure, computed with PBEsol.

Cell: 7.6101 13.6796 6.2533 Å, 90.00 99.36 90.00°
Last column: nearest neighbours and their distance in Å.
Fractional positions:
V (0.2229, 0.0792, 0.2624)  1 O 1.65
V (0.2229, 0.4208, 0.7624)  1 O 1.65
V (0.7771, 0.5792, 0.2376)  1 O 1.65
V (0.7771, 0.9208, 0.7376)  1 O 1.65
Ag (0.0496, 0.7099, 0.6506)  3 O 2.22-2.35
Ag (0.0496, 0.7901, 0.1506)  3 O 2.22-2.35
Ag (0.4572, 0.6433, 0.5696)  4 O 2.31-2.58
Ag (0.4572, 0.8567, 0.0696)  4 O 2.31-2.58
Ag (0.5428, 0.1433, 0.9304)  4 O 2.31-2.58
Ag (0.5428, 0.3567, 0.4304)  4 O 2.31-2.58
Ag (0.9504, 0.2099, 0.8494)  3 O 2.22-2.35
Ag (0.9504, 0.2901, 0.3494)  3 O 2.22-2.35
P (0.1719, 0.0230, 0.7468)  4 O 1.52-1.61
P (0.1719, 0.4770, 0.2468)  4 O 1.52-1.61
P (0.3640, 0.6261, 0.0313)  4 O 1.53-1.62
P (0.3640, 0.8739, 0.5313)  4 O 1.53-1.62
P (0.6360, 0.1261, 0.4687)  4 O 1.53-1.62
P (0.6360, 0.3739, 0.9687)  4 O 1.53-1.62
P (0.8281, 0.5230, 0.7532)  4 O 1.52-1.61
P (0.8281, 0.9770, 0.2532)  4 O 1.52-1.61
O (0.0260, 0.5196, 0.7390)  1 P 1.52
O (0.0260, 0.9804, 0.2390)  1 P 1.52
O (0.0977, 0.1743, 0.1756)  1 V 1.65
O (0.0977, 0.3257, 0.6756)  1 V 1.65
O (0.2188, 0.0935, 0.5757)  1 P 1.53
O (0.2188, 0.4065, 0.0757)  1 P 1.53
O (0.2255, 0.5855, 0.1828)  2 P 1.61-1.62
O (0.2255, 0.9145, 0.6828)  2 P 1.61-1.62
O (0.2826, 0.7236, 0.9454)  1 P 1.53
O (0.2826, 0.7764, 0.4454)  1 P 1.53
O (0.2858, 0.0457, 0.9681)  1 P 1.54
O (0.2858, 0.4543, 0.4681)  1 P 1.54
O (0.3723, 0.5513, 0.8520)  1 P 1.53
O (0.3723, 0.9487, 0.3520)  1 P 1.53
O (0.4601, 0.1427, 0.3142)  1 P 1.53
O (0.4601, 0.3573, 0.8142)  1 P 1.53
O (0.5399, 0.6427, 0.1858)  1 P 1.53
O (0.5399, 0.8573, 0.6858)  1 P 1.53
O (0.6277, 0.0513, 0.6480)  1 P 1.53
O (0.6277, 0.4487, 0.1480)  1 P 1.53
O (0.7142, 0.5457, 0.5319)  1 P 1.54
O (0.7142, 0.9543, 0.0319)  1 P 1.54
O (0.7174, 0.2236, 0.5546)  1 P 1.53
O (0.7174, 0.2764, 0.0546)  1 P 1.53
O (0.7745, 0.0855, 0.3172)  2 P 1.61-1.62
O (0.7745, 0.4145, 0.8172)  2 P 1.61-1.62
O (0.7812, 0.5935, 0.9243)  1 P 1.53
O (0.7812, 0.9065, 0.4243)  1 P 1.53
O (0.9023, 0.6743, 0.3244)  1 V 1.65
O (0.9023, 0.8257, 0.8244)  1 V 1.65
O (0.9740, 0.0196, 0.7610)  1 P 1.52
O (0.9740, 0.4804, 0.2610)  1 P 1.52

Output
The uncorrected formation energy is -1.74 eV per atom. The total moment comes out at 4.00 Bohr magnetons per cell. For the total energy, the calculation gives -7.12 eV per atom. The crystal system is monoclinic.

Please write out number 9 again, unchanged.
A geometry-optimized Rb2ScGaP structure, computed with PBEsol.

Cell: 6.6285 6.6285 4.9831 Å, 90.00 90.00 90.00°
Last column: nearest neighbours and their distance in Å.
Fractional positions:
Rb (0.0000, 0.5000, 0.0000)  2 Sc 3.31
Rb (0.5000, 0.0000, 0.0000)  2 Sc 3.31
Sc (0.0000, 0.0000, 0.0000)  2 Ga 2.49
Ga (0.0000, 0.0000, 0.5000)  2 Sc 2.49
P (0.5000, 0.5000, 0.5000)  8 Rb 4.15

Output
As for the energy relative to the elements: 1.045 eV/atom. The total moment comes out at 1.55 Bohr magnetons per cell. For the total energy, the calculation gives -2.51 eV per atom. The crystal system is tetragonal.